Density functional theory data (GGA-PBE) for an optimized crystal structure of KCd4.

The space group is Pm-3m (No. 221) and the conventional cell measures 6.840, 6.840 and 6.840 Å, with angles of 90.00, 90.00 and 90.00 degrees. The inequivalent atoms are K at (0.000, 0.000, 0.000), Cd at (0.000, 0.000, 0.500) and Cd at (0.500, 0.500, 0.500).

The calculation puts the calculated density at 2536 kg/m³. The energy of formation from the pure elements is 0.52 eV per atom. The density of states at the Fermi level comes out at 3.31 states/eV/cell. The energy above the most stable polymorph in this dataset is 2.94 eV per formula unit.